1.
A plane-wave DFT calculation with PBE was carried out for a geometry-optimized GdSi2OsAu structure.

Properties
* final energy: -6.534 eV/atom
* symmetry: I-4m2 (119)
* calculated volume: 17.41 Å³ per atom

Geometry as extended XYZ:
```
5
Lattice="-2.049 2.049 5.182 2.049 -2.049 5.182 2.049 2.049 -5.182" Properties=species:S:1:pos:R:3 pbc="T T T"
Gd 0.000 0.000 0.000
Si 0.000 0.000 3.999
Si 0.000 0.000 6.366
Os 0.000 2.049 2.591
Au 2.049 0.000 2.591
```

---

2.
A plane-wave DFT calculation with PBE was carried out for a geometry-optimized Gd2PbAu structure.

Properties
* final energy: -4.722 eV/atom
* symmetry: Amm2 (38)
* calculated volume: 27.28 Å³ per atom

Geometry as extended XYZ:
```
4
Lattice="4.466 0.000 0.000 0.000 2.123 5.754 0.000 -2.123 5.754" Properties=species:S:1:pos:R:3 pbc="T T T"
Gd 0.000 0.000 0.000
Gd 2.233 0.000 3.241
Pb 2.233 0.000 6.445
Au 0.000 0.000 8.528
```

---

3.
A plane-wave DFT calculation with PBE was carried out for a geometry-optimized GdPbAuS3 structure.

Properties
* final energy: -4.979 eV/atom
* symmetry: P2_1/m (11)
* calculated volume: 24.17 Å³ per atom

Geometry as extended XYZ:
```
12
Lattice="7.707 0.000 0.000 0.000 4.022 0.000 -2.905 0.000 9.355" Properties=species:S:1:pos:R:3 pbc="T T T"
Gd 0.966 1.006 1.552
Gd 3.836 3.017 7.803
Pb -0.218 3.017 6.641
Pb 5.020 1.006 2.715
Au 1.580 3.017 3.950
Au 3.222 1.006 5.405
S -1.935 1.006 8.152
S 0.065 1.006 4.261
S 2.863 3.017 1.773
S 1.939 1.006 7.582
S 4.737 3.017 5.094
S 6.737 3.017 1.203
```

---

4.
A plane-wave DFT calculation with PBE was carried out for a geometry-optimized GdPbAuS3 structure.

Properties
* final energy: -4.974 eV/atom
* symmetry: Cmcm (63)
* calculated volume: 23.13 Å³ per atom

Geometry as extended XYZ:
```
12
Lattice="2.005 -6.634 0.000 2.005 6.634 0.000 0.000 0.000 10.435" Properties=species:S:1:pos:R:3 pbc="T T T"
Gd 0.000 0.000 0.000
Gd 0.000 0.000 5.217
Pb 2.005 3.423 7.826
Pb 2.005 -3.423 2.609
Au 2.005 0.470 2.609
Au 2.005 -0.470 7.826
S 2.005 5.435 2.609
S 2.005 1.874 0.570
S 2.005 1.874 4.647
S 2.005 -1.874 5.787
S 2.005 -1.874 9.865
S 2.005 -5.435 7.826
```

---

5.
A plane-wave DFT calculation with PBE was carried out for a geometry-optimized GdPbAuSe2S structure.

Properties
* final energy: -4.737 eV/atom
* symmetry: Cmcm (63)
* calculated volume: 24.64 Å³ per atom

Geometry as extended XYZ:
```
12
Lattice="2.060 -6.904 0.000 2.060 6.904 0.000 0.000 0.000 10.396" Properties=species:S:1:pos:R:3 pbc="T T T"
Gd 0.000 0.000 0.000
Gd 0.000 0.000 5.198
Pb 2.060 3.459 7.797
Pb 2.060 -3.459 2.599
Au 2.060 0.388 2.599
Au 2.060 -0.388 7.797
Se 2.060 2.034 0.561
Se 2.060 2.034 4.637
Se 2.060 -2.034 5.759
Se 2.060 -2.034 9.835
S 2.060 5.732 2.599
S 2.060 -5.732 7.797
```

---

6.
A plane-wave DFT calculation with PBE was carried out for a geometry-optimized GdPbAuSe3 structure.

Properties
* final energy: -4.616 eV/atom
* symmetry: Cmcm (63)
* calculated volume: 25.25 Å³ per atom

Geometry as extended XYZ:
```
12
Lattice="2.031 -7.042 0.000 2.031 7.042 0.000 0.000 0.000 10.593" Properties=species:S:1:pos:R:3 pbc="T T T"
Gd 0.000 0.000 0.000
Gd 0.000 0.000 5.297
Pb 2.031 3.765 7.945
Pb 2.031 -3.765 2.648
Au 2.031 0.484 2.648
Au 2.031 -0.484 7.945
Se 2.031 5.752 2.648
Se 2.031 2.049 0.550
Se 2.031 2.049 4.747
Se 2.031 -2.049 5.846
Se 2.031 -2.049 10.044
Se 2.031 -5.752 7.945
```

---

7.
A plane-wave DFT calculation with PBE was carried out for a geometry-optimized GdPbAuSe3 structure.

Properties
* final energy: -4.620 eV/atom
* symmetry: C2/m (12)
* calculated volume: 25.51 Å³ per atom

Geometry as extended XYZ:
```
12
Lattice="6.947 -2.056 0.000 6.947 2.056 0.000 -0.473 0.000 10.713" Properties=species:S:1:pos:R:3 pbc="T T T"
Gd 0.000 0.000 0.000
Gd -0.237 0.000 5.356
Pb 3.117 0.000 2.835
Pb 10.305 0.000 7.878
Au 6.141 0.000 8.058
Au 7.280 0.000 2.655
Se 0.935 0.000 8.086
Se 4.481 0.000 10.049
Se 4.694 0.000 5.844
Se 8.727 0.000 4.869
Se 8.940 0.000 0.664
Se 12.487 0.000 2.627
```

---

8.
A plane-wave DFT calculation with PBE was carried out for a geometry-optimized GdPbAuSe3 structure.

Properties
* final energy: -4.618 eV/atom
* symmetry: P2_1/m (11)
* calculated volume: 26.51 Å³ per atom

Geometry as extended XYZ:
```
12
Lattice="8.041 0.000 0.000 0.000 4.119 0.000 -2.544 0.000 9.605" Properties=species:S:1:pos:R:3 pbc="T T T"
Gd 1.047 1.030 1.605
Gd 4.450 3.089 8.001
Pb 0.378 3.089 6.854
Pb 5.119 1.030 2.751
Au 2.177 3.089 3.888
Au 3.320 1.030 5.718
Se -1.560 1.030 8.284
Se 0.500 1.030 4.477
Se 3.108 3.089 1.455
Se 2.389 1.030 8.150
Se 4.997 3.089 5.128
Se 7.057 3.089 1.321
```

---

9.
A plane-wave DFT calculation with PBE was carried out for a geometry-optimized GdTe2PbAuSe structure.

Properties
* final energy: -4.349 eV/atom
* symmetry: Cmcm (63)
* calculated volume: 28.13 Å³ per atom

Geometry as extended XYZ:
```
12
Lattice="2.126 -7.460 0.000 2.126 7.460 0.000 0.000 0.000 10.643" Properties=species:S:1:pos:R:3 pbc="T T T"
Gd 0.000 0.000 0.000
Gd 0.000 0.000 5.321
Te 2.126 2.251 5.893
Te 2.126 2.251 10.071
Te 2.126 -2.251 0.572
Te 2.126 -2.251 4.750
Pb 2.126 3.704 2.661
Pb 2.126 -3.704 7.982
Au 2.126 0.421 7.982
Au 2.126 -0.421 2.661
Se 2.126 6.210 7.982
Se 2.126 -6.210 2.661
```

---

10.
A plane-wave DFT calculation with PBE was carried out for a geometry-optimized GdTePbAuSe2 structure.

Properties
* final energy: -4.494 eV/atom
* symmetry: Cmcm (63)
* calculated volume: 27.71 Å³ per atom

Geometry as extended XYZ:
```
12
Lattice="2.080 -7.143 0.000 2.080 7.143 0.000 0.000 0.000 11.192" Properties=species:S:1:pos:R:3 pbc="T T T"
Gd 0.000 0.000 0.000
Gd 0.000 0.000 5.596
Te 2.080 5.681 8.394
Te 2.080 -5.681 2.798
Pb 2.080 4.139 2.798
Pb 2.080 -4.139 8.394
Au 2.080 0.442 8.394
Au 2.080 -0.442 2.798
Se 2.080 1.970 6.227
Se 2.080 1.970 10.561
Se 2.080 -1.970 0.631
Se 2.080 -1.970 4.965
```

---

11.
A plane-wave DFT calculation with PBE was carried out for a geometry-optimized GdTe3PbAu structure.

Properties
* final energy: -4.232 eV/atom
* symmetry: Cmcm (63)
* calculated volume: 29.98 Å³ per atom

Geometry as extended XYZ:
```
12
Lattice="2.148 -7.479 0.000 2.148 7.479 0.000 0.000 0.000 11.197" Properties=species:S:1:pos:R:3 pbc="T T T"
Gd 0.000 0.000 0.000
Gd 0.000 0.000 5.598
Te 2.148 6.093 8.398
Te 2.148 2.205 6.199
Te 2.148 2.205 10.596
Te 2.148 -2.205 0.601
Te 2.148 -2.205 4.998
Te 2.148 -6.093 2.799
Pb 2.148 4.095 2.799
Pb 2.148 -4.095 8.398
Au 2.148 0.476 8.398
Au 2.148 -0.476 2.799
```